No. 1
DFT (PBE) results for RbTl2ZnPb after structural relaxation.

Values from the calculation:
Size of the total moment (μB/cell): 0.000
Calculated density (Mg/m³): 7.19
Electronic total energy (eV/atom): -2.03
Calculated volume (A^3/atom): 35.40

abc: 5.5909 5.5909 5.6626
angles: 90.00 90.00 90.00
Fractional positions:
Pb (0.0000, 0.0000, 0.5000)
Tl (0.0000, 0.5000, 0.0000)
Tl (0.5000, 0.0000, 0.0000)
Zn (0.0000, 0.0000, 0.0000)
Rb (0.5000, 0.5000, 0.5000)



No. 2
DFT (PBE) results for Rb2Tl6ZnPb after structural relaxation.

Values from the calculation:
Size of the total moment (μB/cell): 0.000
Calculated density (Mg/m³): 7.51
Electronic total energy (eV/atom): -2.11
Calculated volume (A^3/atom): 36.92

abc: 7.7536 7.7536 14.8734
angles: 74.89 74.89 60.00
Fractional positions:
Rb (0.8977, 0.8977, 0.3070)
Rb (0.1023, 0.1023, 0.6930)
Rb (0.7247, 0.7247, 0.8260)
Rb (0.2753, 0.2753, 0.1740)
Tl (0.9113, 0.3375, 0.4137)
Tl (0.3375, 0.9113, 0.4137)
Tl (0.3375, 0.3375, 0.4137)
Tl (0.0887, 0.6625, 0.5863)
Tl (0.6625, 0.0887, 0.5863)
Tl (0.6625, 0.6625, 0.5863)
Tl (0.6392, 0.2192, 0.9224)
Tl (0.2192, 0.6392, 0.9224)
Tl (0.2192, 0.2192, 0.9224)
Tl (0.3608, 0.7808, 0.0776)
Tl (0.7808, 0.3608, 0.0776)
Tl (0.7808, 0.7808, 0.0776)
Zn (0.0000, 0.0000, 0.0000)
Zn (0.5000, 0.5000, 0.5000)
Pb (0.5757, 0.5757, 0.2730)
Pb (0.4243, 0.4243, 0.7270)



No. 3
DFT (PBE) results for RbTm4Pb5 after structural relaxation.

Values from the calculation:
Size of the total moment (μB/cell): 0.000
Calculated density (Mg/m³): 9.75
Electronic total energy (eV/atom): -4.04
Calculated volume (A^3/atom): 30.61

abc: 3.9938 3.9938 19.1874
angles: 90.00 90.00 90.00
Fractional positions:
Rb (0.0000, 0.0000, 0.0000)
Tm (0.0000, 0.0000, 0.2242)
Tm (0.0000, 0.0000, 0.4080)
Tm (0.0000, 0.0000, 0.5920)
Tm (0.0000, 0.0000, 0.7758)
Pb (0.5000, 0.5000, 0.1402)
Pb (0.5000, 0.5000, 0.3171)
Pb (0.5000, 0.5000, 0.5000)
Pb (0.5000, 0.5000, 0.6829)
Pb (0.5000, 0.5000, 0.8598)



No. 4
DFT (PBE) results for RbTmPb2 after structural relaxation.

Values from the calculation:
Size of the total moment (μB/cell): 0.000
Calculated density (Mg/m³): 8.09
Excess energy over the best structure of this formula in the dataset (meV per atom): 125
Calculated volume (A^3/atom): 34.30

abc: 3.7878 3.7878 11.2579
angles: 80.32 80.32 60.00
Fractional positions:
Pb (0.7408, 0.7408, 0.7775)
Pb (0.2592, 0.2592, 0.2225)
Tm (0.0000, 0.0000, 0.0000)
Rb (0.5000, 0.5000, 0.5000)



No. 5
DFT (PBE) results for RbTmPb2 after structural relaxation.

Values from the calculation:
Size of the total moment (μB/cell): 0.000
Calculated density (Mg/m³): 7.91
Excess energy over the best structure of this formula in the dataset (meV per atom): 0
Calculated volume (A^3/atom): 35.08

abc: 4.0907 4.0907 8.3852
angles: 90.00 90.00 90.00
Fractional positions:
Pb (0.0000, 0.0000, 0.8120)
Pb (0.0000, 0.0000, 0.1880)
Tm (0.5000, 0.5000, 0.0000)
Rb (0.5000, 0.5000, 0.5000)



No. 6
DFT (PBE) results for RbTmPb5 after structural relaxation.

Values from the calculation:
Size of the total moment (μB/cell): 0.000
Calculated density (Mg/m³): 8.54
Electronic total energy (eV/atom): -3.60
Calculated volume (A^3/atom): 35.84

abc: 4.6760 4.6760 11.4745
angles: 90.00 90.00 90.00
Fractional positions:
Rb (0.0000, 0.0000, 0.5000)
Tm (0.5000, 0.5000, 0.0000)
Pb (0.0000, 0.5000, 0.2232)
Pb (0.0000, 0.5000, 0.7768)
Pb (0.5000, 0.0000, 0.2232)
Pb (0.5000, 0.0000, 0.7768)
Pb (0.0000, 0.0000, 0.0000)